First-principles (GGA-PBE) data for a relaxed structure of Ba2ReMo, as listed in Alexandria via LeMat-Bulk.

Calculated values
Distance to the lowest polymorph of the same formula in meV per atom: 158.1
Formation energy from the elements in eV per formula unit: 2.6
ρ in g/cm3: 7.9
Total moment in μB per formula unit: 0.620
N(E_F) in states/eV/f.u.: 5.5
Total DFT energy (no corrections) in eV/cell: -24.48

a b c (Å): 3.3874 3.3874 10.2144
angles (deg): 90.00 90.00 90.00
Sites, in units of the cell vectors:
1 Ba 0.0000 0.0000 0.0000
2 Ba 0.5000 0.5000 0.3953
3 Re 0.5000 0.5000 0.7543
4 Mo 0.0000 0.0000 0.6498